(1)
# KSe2, optimized geometry, DFT PBE
data_KSe2
_chemical_formula_sum 'K1 Se2'
_cell_length_a 6.263
_cell_length_b 6.263
_cell_length_c 6.263
_cell_angle_alpha 146.14
_cell_angle_beta 130.82
_cell_angle_gamma 61.05
_symmetry_space_group_name_H-M 'P 1'
_symmetry_Int_Tables_number 1
loop_
_symmetry_equiv_pos_as_xyz
'x,y,z'
loop_
_atom_site_label
_atom_site_type_symbol
_atom_site_fract_x
_atom_site_fract_y
_atom_site_fract_z
_atom_site_occupancy
Se1 Se 0.393 0.393 0.000 1
Se2 Se 0.607 0.607 0.000 1
K1 K 0.000 0.000 0.000 1
# E above lowest polymorph: 10.9 kJ/mol of atoms
# E_tot: -3.245 eV/atom

(2)
# KSe2, optimized geometry, DFT PBE
data_KSe2
_chemical_formula_sum 'K2 Se4'
_cell_length_a 6.552
_cell_length_b 6.552
_cell_length_c 6.767
_cell_angle_alpha 90.00
_cell_angle_beta 90.00
_cell_angle_gamma 137.20
_symmetry_space_group_name_H-M 'P 1'
_symmetry_Int_Tables_number 1
loop_
_symmetry_equiv_pos_as_xyz
'x,y,z'
loop_
_atom_site_label
_atom_site_type_symbol
_atom_site_fract_x
_atom_site_fract_y
_atom_site_fract_z
_atom_site_occupancy
K1 K 0.357 0.643 0.500 1
K2 K 0.087 0.913 0.000 1
Se1 Se 0.075 0.925 0.500 1
Se2 Se 0.803 0.197 0.000 1
Se3 Se 0.641 0.359 0.500 1
Se4 Se 0.370 0.630 0.000 1
# E above lowest polymorph: 3.0 kJ/mol of atoms
# E_tot: -3.326 eV/atom

(3)
# KSe2, optimized geometry, DFT PBE
data_KSe2
_chemical_formula_sum 'K1 Se2'
_cell_length_a 4.556
_cell_length_b 4.821
_cell_length_c 5.442
_cell_angle_alpha 102.09
_cell_angle_beta 114.46
_cell_angle_gamma 90.25
_symmetry_space_group_name_H-M 'P 1'
_symmetry_Int_Tables_number 1
loop_
_symmetry_equiv_pos_as_xyz
'x,y,z'
loop_
_atom_site_label
_atom_site_type_symbol
_atom_site_fract_x
_atom_site_fract_y
_atom_site_fract_z
_atom_site_occupancy
Se1 Se 0.751 0.390 0.502 1
Se2 Se 0.249 0.610 0.498 1
K1 K 0.000 0.000 0.000 1
# E above lowest polymorph: 3.2 kJ/mol of atoms
# E_tot: -3.324 eV/atom

(4)
# KSe2, optimized geometry, DFT PBE
data_KSe2
_chemical_formula_sum 'K1 Se2'
_cell_length_a 6.347
_cell_length_b 6.347
_cell_length_c 6.347
_cell_angle_alpha 143.75
_cell_angle_beta 143.75
_cell_angle_gamma 52.20
_symmetry_space_group_name_H-M 'P 1'
_symmetry_Int_Tables_number 1
loop_
_symmetry_equiv_pos_as_xyz
'x,y,z'
loop_
_atom_site_label
_atom_site_type_symbol
_atom_site_fract_x
_atom_site_fract_y
_atom_site_fract_z
_atom_site_occupancy
Se1 Se 0.271 0.271 0.000 1
Se2 Se 0.729 0.729 0.000 1
K1 K 0.000 0.000 0.000 1
# E above lowest polymorph: 16.0 kJ/mol of atoms
# E_tot: -3.191 eV/atom

(5)
# KSe4, optimized geometry, DFT PBE
data_KSe4
_chemical_formula_sum 'K1 Se4'
_cell_length_a 7.530
_cell_length_b 5.914
_cell_length_c 5.914
_cell_angle_alpha 66.09
_cell_angle_beta 50.46
_cell_angle_gamma 50.46
_symmetry_space_group_name_H-M 'P 1'
_symmetry_Int_Tables_number 1
loop_
_symmetry_equiv_pos_as_xyz
'x,y,z'
loop_
_atom_site_label
_atom_site_type_symbol
_atom_site_fract_x
_atom_site_fract_y
_atom_site_fract_z
_atom_site_occupancy
Se1 Se 0.185 0.315 0.315 1
Se2 Se 0.500 0.315 0.685 1
Se3 Se 0.500 0.685 0.315 1
Se4 Se 0.815 0.685 0.685 1
K1 K 0.000 0.000 0.000 1
# E above lowest polymorph: 0.0 kJ/mol of atoms
# E_tot: -3.212 eV/atom

(6)
# K3Se, optimized geometry, DFT PBE
data_K3Se
_chemical_formula_sum 'K3 Se1'
_cell_length_a 4.955
_cell_length_b 4.955
_cell_length_c 9.678
_cell_angle_alpha 90.00
_cell_angle_beta 90.00
_cell_angle_gamma 120.00
_symmetry_space_group_name_H-M 'P 1'
_symmetry_Int_Tables_number 1
loop_
_symmetry_equiv_pos_as_xyz
'x,y,z'
loop_
_atom_site_label
_atom_site_type_symbol
_atom_site_fract_x
_atom_site_fract_y
_atom_site_fract_z
_atom_site_occupancy
K1 K 0.000 0.000 0.911 1
K2 K 0.000 0.000 0.589 1
K3 K 0.667 0.333 0.250 1
Se1 Se 0.667 0.333 0.750 1
# E above lowest polymorph: 13.1 kJ/mol of atoms
# E_tot: -2.283 eV/atom

(7)
# K3Se, optimized geometry, DFT PBE
data_K3Se
_chemical_formula_sum 'K3 Se1'
_cell_length_a 6.618
_cell_length_b 6.618
_cell_length_c 6.618
_cell_angle_alpha 132.23
_cell_angle_beta 132.23
_cell_angle_gamma 69.87
_symmetry_space_group_name_H-M 'P 1'
_symmetry_Int_Tables_number 1
loop_
_symmetry_equiv_pos_as_xyz
'x,y,z'
loop_
_atom_site_label
_atom_site_type_symbol
_atom_site_fract_x
_atom_site_fract_y
_atom_site_fract_z
_atom_site_occupancy
K1 K 0.250 0.750 0.500 1
K2 K 0.750 0.250 0.500 1
K3 K 0.500 0.500 0.000 1
Se1 Se 0.000 0.000 0.000 1
# E above lowest polymorph: 21.9 kJ/mol of atoms
# E_tot: -2.192 eV/atom

(8)
# KSe2, optimized geometry, DFT PBE
data_KSe2
_chemical_formula_sum 'K2 Se4'
_cell_length_a 6.044
_cell_length_b 6.044
_cell_length_c 6.044
_cell_angle_alpha 60.00
_cell_angle_beta 60.00
_cell_angle_gamma 60.00
_symmetry_space_group_name_H-M 'P 1'
_symmetry_Int_Tables_number 1
loop_
_symmetry_equiv_pos_as_xyz
'x,y,z'
loop_
_atom_site_label
_atom_site_type_symbol
_atom_site_fract_x
_atom_site_fract_y
_atom_site_fract_z
_atom_site_occupancy
Se1 Se 0.625 0.125 0.125 1
Se2 Se 0.125 0.125 0.625 1
Se3 Se 0.125 0.125 0.125 1
Se4 Se 0.125 0.625 0.125 1
K1 K 0.750 0.750 0.750 1
K2 K 0.500 0.500 0.500 1
# E above lowest polymorph: 21.9 kJ/mol of atoms
# E_tot: -3.130 eV/atom

(9)
# KSe2, optimized geometry, DFT PBE
data_KSe2
_chemical_formula_sum 'K2 Se4'
_cell_length_a 10.256
_cell_length_b 10.256
_cell_length_c 4.378
_cell_angle_alpha 90.00
_cell_angle_beta 90.00
_cell_angle_gamma 157.16
_symmetry_space_group_name_H-M 'P 1'
_symmetry_Int_Tables_number 1
loop_
_symmetry_equiv_pos_as_xyz
'x,y,z'
loop_
_atom_site_label
_atom_site_type_symbol
_atom_site_fract_x
_atom_site_fract_y
_atom_site_fract_z
_atom_site_occupancy
K1 K 0.380 0.620 0.250 1
K2 K 0.620 0.380 0.750 1
Se1 Se 0.749 0.251 0.250 1
Se2 Se 0.973 0.027 0.750 1
Se3 Se 0.251 0.749 0.750 1
Se4 Se 0.027 0.973 0.250 1
# E above lowest polymorph: 8.1 kJ/mol of atoms
# E_tot: -3.273 eV/atom

(10)
# K3Se, optimized geometry, DFT PBE
data_K3Se
_chemical_formula_sum 'K6 Se2'
_cell_length_a 4.613
_cell_length_b 7.766
_cell_length_c 11.051
_cell_angle_alpha 90.00
_cell_angle_beta 90.00
_cell_angle_gamma 90.00
_symmetry_space_group_name_H-M 'P 1'
_symmetry_Int_Tables_number 1
loop_
_symmetry_equiv_pos_as_xyz
'x,y,z'
loop_
_atom_site_label
_atom_site_type_symbol
_atom_site_fract_x
_atom_site_fract_y
_atom_site_fract_z
_atom_site_occupancy
K1 K 0.000 0.277 0.188 1
K2 K 0.500 0.000 0.470 1
K3 K 0.500 0.223 0.812 1
K4 K 0.500 0.777 0.812 1
K5 K 0.000 0.500 0.530 1
K6 K 0.000 0.723 0.188 1
Se1 Se 0.000 0.000 0.669 1
Se2 Se 0.500 0.500 0.331 1
# E above lowest polymorph: 2.4 kJ/mol of atoms
# E_tot: -2.394 eV/atom

(11)
# KSe2, optimized geometry, DFT PBE
data_KSe2
_chemical_formula_sum 'K2 Se4'
_cell_length_a 4.722
_cell_length_b 4.722
_cell_length_c 9.581
_cell_angle_alpha 90.00
_cell_angle_beta 90.00
_cell_angle_gamma 120.00
_symmetry_space_group_name_H-M 'P 1'
_symmetry_Int_Tables_number 1
loop_
_symmetry_equiv_pos_as_xyz
'x,y,z'
loop_
_atom_site_label
_atom_site_type_symbol
_atom_site_fract_x
_atom_site_fract_y
_atom_site_fract_z
_atom_site_occupancy
K1 K 0.000 0.000 0.750 1
K2 K 0.000 0.000 0.250 1
Se1 Se 0.667 0.333 0.017 1
Se2 Se 0.667 0.333 0.483 1
Se3 Se 0.333 0.667 0.983 1
Se4 Se 0.333 0.667 0.517 1
# E above lowest polymorph: 21.7 kJ/mol of atoms
# E_tot: -3.132 eV/atom

(12)
# KSe2, optimized geometry, DFT PBE
data_KSe2
_chemical_formula_sum 'K1 Se2'
_cell_length_a 5.117
_cell_length_b 5.117
_cell_length_c 5.117
_cell_angle_alpha 60.00
_cell_angle_beta 60.00
_cell_angle_gamma 60.00
_symmetry_space_group_name_H-M 'P 1'
_symmetry_Int_Tables_number 1
loop_
_symmetry_equiv_pos_as_xyz
'x,y,z'
loop_
_atom_site_label
_atom_site_type_symbol
_atom_site_fract_x
_atom_site_fract_y
_atom_site_fract_z
_atom_site_occupancy
K1 K 0.000 0.000 0.000 1
Se1 Se 0.750 0.750 0.750 1
Se2 Se 0.250 0.250 0.250 1
# E above lowest polymorph: 75.7 kJ/mol of atoms
# E_tot: -2.573 eV/atom

(13)
# K4Se3, optimized geometry, DFT PBE
data_K4Se3
_chemical_formula_sum 'K4 Se3'
_cell_length_a 6.737
_cell_length_b 6.737
_cell_length_c 5.737
_cell_angle_alpha 90.00
_cell_angle_beta 90.00
_cell_angle_gamma 120.00
_symmetry_space_group_name_H-M 'P 1'
_symmetry_Int_Tables_number 1
loop_
_symmetry_equiv_pos_as_xyz
'x,y,z'
loop_
_atom_site_label
_atom_site_type_symbol
_atom_site_fract_x
_atom_site_fract_y
_atom_site_fract_z
_atom_site_occupancy
Se1 Se 0.500 0.000 0.000 1
Se2 Se 0.000 0.500 0.000 1
Se3 Se 0.500 0.500 0.000 1
K1 K 0.000 0.000 0.764 1
K2 K 0.000 0.000 0.236 1
K3 K 0.333 0.667 0.500 1
K4 K 0.667 0.333 0.500 1
# E_tot: -2.605 eV/atom

(14)
# KSe2, optimized geometry, DFT PBE
data_KSe2
_chemical_formula_sum 'K1 Se2'
_cell_length_a 4.646
_cell_length_b 4.618
_cell_length_c 4.950
_cell_angle_alpha 90.00
_cell_angle_beta 90.92
_cell_angle_gamma 90.00
_symmetry_space_group_name_H-M 'P 1'
_symmetry_Int_Tables_number 1
loop_
_symmetry_equiv_pos_as_xyz
'x,y,z'
loop_
_atom_site_label
_atom_site_type_symbol
_atom_site_fract_x
_atom_site_fract_y
_atom_site_fract_z
_atom_site_occupancy
Se1 Se 0.521 0.000 0.825 1
Se2 Se 0.018 0.000 0.631 1
K1 K 0.510 0.500 0.329 1
# E above lowest polymorph: 3.1 kJ/mol of atoms
# E_tot: -3.325 eV/atom